Density functional theory data (PBE) for a relaxed structure of SrLi6ZnCu.

Properties
SG: No. 74
M_tot in μB per formula unit: 0.0
ΔH_f (0 K) in eV per atom: 0.1451

Cell: 10.7253 5.5283 9.1668 Å, 107.55 125.80 90.00°
With the nearest neighbours (Å) after each atom.
Positions (direct):
Li 0.3837 0.0911 0.2000  1 Cu 2.49, 2 Li 2.67-2.76, 1 Zn 2.70
Li 0.6163 0.9089 0.8000  1 Cu 2.49, 2 Li 2.67-2.76, 1 Zn 2.70
Li 0.3393 0.5893 0.6786  2 Zn 2.61, 6 Li 2.85
Li 0.2881 0.0381 0.5762  2 Cu 2.73, 2 Li 2.85
Li 0.8163 0.6089 0.2000  1 Cu 2.49, 2 Li 2.67-2.76, 1 Zn 2.70
Li 0.6607 0.4107 0.3214  2 Zn 2.61, 6 Li 2.85
Li 0.7119 0.9619 0.4238  2 Cu 2.73, 2 Li 2.85
Li 0.8163 0.0911 0.2000  1 Cu 2.49, 2 Li 2.67-2.76, 1 Zn 2.70
Li 0.1837 0.3911 0.8000  1 Cu 2.49, 2 Li 2.67-2.76, 1 Zn 2.70
Li 0.1837 0.9089 0.8000  1 Cu 2.49, 2 Li 2.67-2.76, 1 Zn 2.70
Li 0.3837 0.6089 0.2000  1 Cu 2.49, 2 Li 2.67-2.76, 1 Zn 2.70
Li 0.6163 0.3911 0.8000  1 Cu 2.49, 2 Li 2.67-2.76, 1 Zn 2.70
Zn 0.5000 0.5000 0.0000  6 Li 2.61-2.70, 2 Zn 2.76
Zn 0.5000 0.0000 0.0000  6 Li 2.61-2.70, 2 Zn 2.76
Sr 0.8909 0.6409 0.7818  5 Li 3.18-3.36
Sr 0.1091 0.3591 0.2182  5 Li 3.18-3.36
Cu 0.0000 0.0000 0.5000  6 Li 2.49-2.73
Cu 0.5000 0.0000 0.5000  6 Li 2.49-2.73